Record 1
# PuMnAs2 (PBE-GGA, relaxed)
data_PuMnAs2
_chemical_formula_sum 'Pu3 Mn3 As6'
_space_group_name_H-M_alt 'R -3 m'
_space_group_IT_number 166
_space_group_name_Hall '-R 3 2"'
_cell_length_a 3.9288
_cell_length_b 3.9288
_cell_length_c 17.2487
_cell_angle_alpha 90.00
_cell_angle_beta 90.00
_cell_angle_gamma 120.00
loop_
_atom_site_label
_atom_site_type_symbol
_atom_site_fract_x
_atom_site_fract_y
_atom_site_fract_z
_atom_site_occupancy
Pu1 Pu 0.0000 0.0000 0.0000 1
Mn1 Mn 0.0000 0.0000 0.5000 1
As1 As 0.0000 0.0000 0.2323 1
# - calculated formation energy (eV per atom) = -0.5727
# - uncorrected energy (eV per atom) = -8.773
# - DOS at the Fermi energy (states/eV per atom) = 2.59

***

Record 2
# RbMnAs3 (PBE-GGA, relaxed)
data_RbMnAs3
_chemical_formula_sum 'Rb1 Mn1 As3'
_space_group_name_H-M_alt 'P m -3 m'
_space_group_IT_number 221
_space_group_name_Hall '-P 4 2 3'
_cell_length_a 5.534
_cell_length_b 5.534
_cell_length_c 5.534
_cell_angle_alpha 90.00
_cell_angle_beta 90.00
_cell_angle_gamma 90.00
loop_
_atom_site_label
_atom_site_type_symbol
_atom_site_fract_x
_atom_site_fract_y
_atom_site_fract_z
_atom_site_occupancy
Rb1 Rb 0.000 0.000 0.000 1
Mn1 Mn 0.500 0.500 0.500 1
As1 As 0.000 0.000 0.500 1
# - calculated formation energy (eV per atom) = 1.9033
# - uncorrected energy (eV per atom) = -2.914
# - DOS at the Fermi energy (states/eV per atom) = 1.00
# - offset from the most stable computed form (meV/atom) = 1789

***

Record 3
# RbMnAs2 (PBE-GGA, relaxed)
data_RbMnAs2
_chemical_formula_sum 'Rb4 Mn4 As8'
_space_group_name_H-M_alt 'I 41/a m d'
_space_group_IT_number 141
_cell_length_a 6.420
_cell_length_b 6.420
_cell_length_c 11.892
_cell_angle_alpha 90.00
_cell_angle_beta 90.00
_cell_angle_gamma 90.00
loop_
_space_group_symop_operation_xyz
'x,y,z'
'-x,-y,-z'
'-y+1/4,x+3/4,z+1/4'
'y+1/4,-x+3/4,-z+1/4'
'-x+1/2,-y,z+1/2'
'x+1/2,y,-z+1/2'
'y+1/4,-x+1/4,z+3/4'
'-y+1/4,x+1/4,-z+3/4'
'x,-y,-z'
'-x,y,z'
'-y+1/4,-x+1/4,-z+3/4'
'y+1/4,x+1/4,z+3/4'
'-x+1/2,y,-z+1/2'
'x+1/2,-y,z+1/2'
'y+1/4,x+3/4,-z+1/4'
'-y+1/4,-x+3/4,z+1/4'
'x+1/2,y+1/2,z+1/2'
'-x+1/2,-y+1/2,-z+1/2'
'-y+3/4,x+1/4,z+3/4'
'y+3/4,-x+1/4,-z+3/4'
'-x,-y+1/2,z'
'x,y+1/2,-z'
'y+3/4,-x+3/4,z+1/4'
'-y+3/4,x+3/4,-z+1/4'
'x+1/2,-y+1/2,-z+1/2'
'-x+1/2,y+1/2,z+1/2'
'-y+3/4,-x+3/4,-z+1/4'
'y+3/4,x+3/4,z+1/4'
'-x,y+1/2,-z'
'x,-y+1/2,z'
'y+3/4,x+1/4,-z+3/4'
'-y+3/4,-x+1/4,z+3/4'
loop_
_atom_site_label
_atom_site_type_symbol
_atom_site_fract_x
_atom_site_fract_y
_atom_site_fract_z
_atom_site_occupancy
Rb1 Rb 0.000 0.250 0.375 1
Mn1 Mn 0.000 0.250 0.875 1
As1 As 0.000 0.000 0.000 1
# - calculated formation energy (eV per atom) = -0.1979
# - uncorrected energy (eV per atom) = -5.057
# - DOS at the Fermi energy (states/eV per atom) = 0.00
# - offset from the most stable computed form (meV/atom) = 27

***

Record 4
# Rb2MnAs2 (PBE-GGA, relaxed)
data_Rb2MnAs2
_chemical_formula_sum 'Rb8 Mn4 As8'
_space_group_name_H-M_alt 'I b a m'
_space_group_IT_number 72
_space_group_name_Hall '-I 2 2c'
_cell_length_a 7.436
_cell_length_b 13.901
_cell_length_c 6.498
_cell_angle_alpha 90.00
_cell_angle_beta 90.00
_cell_angle_gamma 90.00
loop_
_atom_site_label
_atom_site_type_symbol
_atom_site_fract_x
_atom_site_fract_y
_atom_site_fract_z
_atom_site_occupancy
Rb1 Rb 0.158 0.148 0.000 1
Mn1 Mn 0.000 0.500 0.250 1
As1 As 0.163 0.406 0.000 1
# - calculated formation energy (eV per atom) = -0.3311
# - uncorrected energy (eV per atom) = -4.412
# - DOS at the Fermi energy (states/eV per atom) = 0.71

***

Record 5
# RbMn3As2 (PBE-GGA, relaxed)
data_RbMn3As2
_chemical_formula_sum 'Rb4 Mn12 As8'
_space_group_name_H-M_alt 'C 1 2/m 1'
_space_group_IT_number 12
_cell_length_a 11.852
_cell_length_b 3.915
_cell_length_c 10.645
_cell_angle_alpha 90.00
_cell_angle_beta 106.89
_cell_angle_gamma 90.00
loop_
_space_group_symop_operation_xyz
'x,y,z'
'-x,-y,-z'
'-x,y,-z'
'x,-y,z'
'x+1/2,y+1/2,z'
'-x+1/2,-y+1/2,-z'
'-x+1/2,y+1/2,-z'
'x+1/2,-y+1/2,z'
loop_
_atom_site_label
_atom_site_type_symbol
_atom_site_fract_x
_atom_site_fract_y
_atom_site_fract_z
_atom_site_occupancy
Rb1 Rb 0.145 0.000 0.063 1
Mn1 Mn 0.062 0.000 0.407 1
Mn2 Mn 0.108 0.500 0.592 1
Mn3 Mn 0.233 0.500 0.436 1
As1 As 0.046 0.500 0.265 1
As2 As 0.166 0.000 0.730 1
# - calculated formation energy (eV per atom) = -0.1178
# - uncorrected energy (eV per atom) = -6.414
# - DOS at the Fermi energy (states/eV per atom) = 0.69

***

Record 6
# RbMnAs2 (PBE-GGA, relaxed)
data_RbMnAs2
_chemical_formula_sum 'Rb4 Mn4 As8'
_space_group_name_H-M_alt 'F m -3 m'
_space_group_IT_number 225
_space_group_name_Hall '-F 4 2 3'
_cell_length_a 6.848
_cell_length_b 6.848
_cell_length_c 6.848
_cell_angle_alpha 90.00
_cell_angle_beta 90.00
_cell_angle_gamma 90.00
loop_
_atom_site_label
_atom_site_type_symbol
_atom_site_fract_x
_atom_site_fract_y
_atom_site_fract_z
_atom_site_occupancy
Rb1 Rb 0.000 0.000 0.000 1
Mn1 Mn 0.000 0.000 0.500 1
As1 As 0.250 0.250 0.250 1
# - calculated formation energy (eV per atom) = 0.9065
# - uncorrected energy (eV per atom) = -3.953
# - DOS at the Fermi energy (states/eV per atom) = 1.20
# - offset from the most stable computed form (meV/atom) = 1131

***

Record 7
# RbMn3As (PBE-GGA, relaxed)
data_RbMn3As
_chemical_formula_sum 'Rb1 Mn3 As1'
_space_group_name_H-M_alt 'P m -3 m'
_space_group_IT_number 221
_space_group_name_Hall '-P 4 2 3'
_cell_length_a 4.945
_cell_length_b 4.945
_cell_length_c 4.945
_cell_angle_alpha 90.00
_cell_angle_beta 90.00
_cell_angle_gamma 90.00
loop_
_atom_site_label
_atom_site_type_symbol
_atom_site_fract_x
_atom_site_fract_y
_atom_site_fract_z
_atom_site_occupancy
Rb1 Rb 0.000 0.000 0.000 1
Mn1 Mn 0.000 0.000 0.500 1
As1 As 0.500 0.500 0.500 1
# - calculated formation energy (eV per atom) = 2.3171
# - uncorrected energy (eV per atom) = -4.308
# - DOS at the Fermi energy (states/eV per atom) = 0.70
# - offset from the most stable computed form (meV/atom) = 1578

***

Record 8
# Rb3MnAs (PBE-GGA, relaxed)
data_Rb3MnAs
_chemical_formula_sum 'Rb3 Mn1 As1'
_space_group_name_H-M_alt 'P m -3 m'
_space_group_IT_number 221
_space_group_name_Hall '-P 4 2 3'
_cell_length_a 6.751
_cell_length_b 6.751
_cell_length_c 6.751
_cell_angle_alpha 90.00
_cell_angle_beta 90.00
_cell_angle_gamma 90.00
loop_
_atom_site_label
_atom_site_type_symbol
_atom_site_fract_x
_atom_site_fract_y
_atom_site_fract_z
_atom_site_occupancy
Rb1 Rb 0.000 0.000 0.500 1
Mn1 Mn 0.500 0.500 0.500 1
As1 As 0.000 0.000 0.000 1
# - calculated formation energy (eV per atom) = 0.4837
# - uncorrected energy (eV per atom) = -2.861
# - DOS at the Fermi energy (states/eV per atom) = 4.45
# - offset from the most stable computed form (meV/atom) = 0

***

Question: Which formula does entry 1 have?
Answer: PuMnAs2

***

Question: Look up the uncorrected energy of the eighth one.
Answer: -2.861 eV per atom